{"formula": "Mn2AuCl", "functional": "PBE", "state": "optimized geometry", "lattice": [[4.5652, 0.0099, 0.0771], [3.4506, 2.9891, 0.0771], [4.0575, 1.5180, 6.4179]], "species": ["Mn", "Mn", "Au", "Cl"], "fractional_positions": [[0.0611, 0.0611, 0.0680], [0.4389, 0.4389, 0.4320], [0.2500, 0.2500, 0.2500], [0.7500, 0.7500, 0.7500]], "e_form_raw_ev_per_atom": -0.05, "vol_a3_per_cell": 86.3, "sg": "C2/m, No. 12", "relative_energy_mev_per_atom": 32.0}